w | # SiRh2I | the Alexandria database | PBE | optimized geometry
# Total magnetization = 0.00 μB/f.u.
data_SiRh2I
_chemical_formula_sum 'Si2 Rh4 I2'
_space_group_name_H-M_alt 'P 1'
_space_group_IT_number 1
_cell_length_a 8.065
_cell_length_b 4.287
_cell_length_c 4.284
_cell_angle_alpha 90.00
_cell_angle_beta 90.00
_cell_angle_gamma 90.00
loop_
_space_group_symop_operation_xyz
'x,y,z'
loop_
_atom_site_label
_atom_site_type_symbol
_atom_site_fract_x
_atom_site_fract_y
_atom_site_fract_z
I1 I 0.500 0.000 0.142
I2 I 0.500 0.500 0.642
Si1 Si 0.000 0.000 0.634
Si2 Si 0.000 0.500 0.134
Rh1 Rh 0.164 0.000 0.134
Rh2 Rh 0.164 0.500 0.634
Rh3 Rh 0.836 0.000 0.134
Rh4 Rh 0.836 0.500 0.634

x | # SiRh2I | the Alexandria database | PBE | optimized geometry
# Total magnetization = 0.00 μB/f.u.
data_SiRh2I
_chemical_formula_sum 'Si2 Rh4 I2'
_space_group_name_H-M_alt 'P 1'
_space_group_IT_number 1
_cell_length_a 5.237
_cell_length_b 5.237
_cell_length_c 7.388
_cell_angle_alpha 69.24
_cell_angle_beta 69.24
_cell_angle_gamma 90.00
loop_
_space_group_symop_operation_xyz
'x,y,z'
loop_
_atom_site_label
_atom_site_type_symbol
_atom_site_fract_x
_atom_site_fract_y
_atom_site_fract_z
Si1 Si 0.500 0.500 0.000
Si2 Si 0.250 0.750 0.500
Rh1 Rh 0.375 0.438 0.750
Rh2 Rh 0.562 0.125 0.250
Rh3 Rh 0.875 0.812 0.750
Rh4 Rh 0.188 0.625 0.250
I1 I 0.750 0.250 0.500
I2 I 0.000 0.000 0.000

y | # SiRh2I | the Alexandria database | PBE | optimized geometry
# Total magnetization = 0.00 μB/f.u.
data_SiRh2I
_chemical_formula_sum 'Si3 Rh6 I3'
_space_group_name_H-M_alt 'P 1'
_space_group_IT_number 1
_cell_length_a 3.826
_cell_length_b 3.826
_cell_length_c 18.906
_cell_angle_alpha 90.00
_cell_angle_beta 90.00
_cell_angle_gamma 120.00
loop_
_space_group_symop_operation_xyz
'x,y,z'
loop_
_atom_site_label
_atom_site_type_symbol
_atom_site_fract_x
_atom_site_fract_y
_atom_site_fract_z
Rh1 Rh 0.333 0.667 0.614
Rh2 Rh 0.000 0.000 0.515
Rh3 Rh 0.333 0.667 0.182
Rh4 Rh 0.667 0.333 0.848
Rh5 Rh 0.667 0.333 0.280
Rh6 Rh 0.000 0.000 0.947
Si1 Si 0.000 0.000 0.220
Si2 Si 0.667 0.333 0.553
Si3 Si 0.333 0.667 0.886
I1 I 0.667 0.333 0.710
I2 I 0.000 0.000 0.376
I3 I 0.333 0.667 0.043

Which structure wins on stability? y wins.

w | # SiTeRhI2 | the Alexandria database | PBE | optimized geometry
# Total magnetization = 0.00 μB/f.u.
data_SiTeRhI2
_chemical_formula_sum 'Si1 Te1 Rh1 I2'
_space_group_name_H-M_alt 'P 1'
_space_group_IT_number 1
_cell_length_a 5.339
_cell_length_b 5.339
_cell_length_c 5.256
_cell_angle_alpha 90.00
_cell_angle_beta 90.00
_cell_angle_gamma 90.00
loop_
_space_group_symop_operation_xyz
'x,y,z'
loop_
_atom_site_label
_atom_site_type_symbol
_atom_site_fract_x
_atom_site_fract_y
_atom_site_fract_z
I1 I 0.000 0.500 0.000
I2 I 0.500 0.000 0.000
Rh1 Rh 0.000 0.000 0.000
Te1 Te 0.000 0.000 0.500
Si1 Si 0.500 0.500 0.500

x | # SiTeRhI2 | the Alexandria database | PBE | optimized geometry
# Total magnetization = 2.20 μB/f.u.
data_SiTeRhI2
_chemical_formula_sum 'Si1 Te1 Rh1 I2'
_space_group_name_H-M_alt 'P 1'
_space_group_IT_number 1
_cell_length_a 5.434
_cell_length_b 5.434
_cell_length_c 5.358
_cell_angle_alpha 90.00
_cell_angle_beta 90.00
_cell_angle_gamma 90.00
loop_
_space_group_symop_operation_xyz
'x,y,z'
loop_
_atom_site_label
_atom_site_type_symbol
_atom_site_fract_x
_atom_site_fract_y
_atom_site_fract_z
Rh1 Rh 0.500 0.500 0.500
Si1 Si 0.000 0.000 0.000
Te1 Te 0.000 0.000 0.500
I1 I 0.500 0.000 0.000
I2 I 0.000 0.500 0.000

Which structure wins on stability? w wins.